Run P
Material: Dy2ErCd2
Method: DFT, GGA-PBE
State: relaxed

abc: 4.979 5.888 5.888
angles: 70.60 64.99 64.99
Fractional positions:
Dy 0.198 0.302 0.302
Dy 0.802 0.698 0.698
Er 0.000 0.000 0.000
Cd 0.500 0.289 0.711
Cd 0.500 0.711 0.289

Output
Density of states at the Fermi level in states/eV per cell: 5.67
M_tot in μB per atom: 0.0000
Space group: Immm

Run Q
Material: Dy2ErCd2
Method: DFT, GGA-PBE
State: relaxed

abc: 3.710 5.311 13.824
angles: 90.00 97.73 90.00
Fractional positions:
Dy 0.045 0.750 0.091
Dy 0.955 0.250 0.909
Dy 0.236 0.750 0.472
Dy 0.764 0.250 0.528
Er 0.850 0.750 0.702
Er 0.150 0.250 0.298
Cd 0.641 0.750 0.281
Cd 0.359 0.250 0.719
Cd 0.447 0.750 0.895
Cd 0.553 0.250 0.105

Output
Density of states at the Fermi level in states/eV per cell: 9.04
M_tot in μB per atom: 0.0002
Space group: P2_1/m

run Q has the most favorable energy; the next structure is 96 meV/atom above.